[1]
A plane-wave DFT calculation with GGA-PBE was carried out for a relaxed AcPrRu4 crystal.

## Properties
For the energy of formation from the pure elements, the calculation gives -0.01 eV/atom. The calculation puts the total magnetization at 0.00 μB per formula unit.

Unit cell a=7.784 b=7.784 c=7.784 alpha=90.00 beta=90.00 gamma=90.00
Space group F-43m (No. 216)
Asymmetric unit:
Ac1 0.000 0.000 0.000 [4 per cell]
Pr1 0.250 0.250 0.750 [4 per cell]
Ru1 0.125 0.125 0.375 [16 per cell]


[2]
A plane-wave DFT calculation with GGA-PBE was carried out for a relaxed GaSiMo crystal.

## Properties
As for the uncorrected formation energy: 110 meV/atom. Its energy above the most stable polymorph in this dataset is 0 meV/atom. The calculation puts the total magnetization at 0.00 μB per formula unit.

Unit cell a=4.3639 b=4.3639 c=2.7467 alpha=90.00 beta=90.00 gamma=120.00
Space group P3m1 (No. 156)
Asymmetric unit:
Ga1 0.0000 0.0000 0.0000 [1 per cell]
Si1 0.3333 0.6667 0.3033 [1 per cell]
Mo1 0.6667 0.3333 0.4882 [1 per cell]


Number 1: final energy -7.679 eV/atom. Number 2: final energy -6.317 eV/atom.